# 1
Entry from Alexandria: CsPb2BrCl4 after structural relaxation (PBE).

Calculated values
The energy is -3.374 eV/atom. The formation energy from raw total energies comes out at -1.208 eV per atom. The space-group type is No. 123. The value obtained for the density is 4.6 g cm⁻³. The total magnetization is 0.12 μB/f.u.

Cell and atoms, written as CIF:
```
data_CsPb2BrCl4
_cell_length_a 4.858
_cell_length_b 4.858
_cell_length_c 11.781
_cell_angle_alpha 90.00
_cell_angle_beta 90.00
_cell_angle_gamma 90.00
_symmetry_space_group_name_H-M 'P 1'
_symmetry_Int_Tables_number 1
loop_
_symmetry_equiv_pos_as_xyz
'x,y,z'
loop_
_atom_site_label
_atom_site_fract_x
_atom_site_fract_y
_atom_site_fract_z
Cs1 0.000 0.000 0.000
Pb1 0.500 0.500 0.334
Pb2 0.500 0.500 0.666
Br1 0.000 0.000 0.500
Cl1 0.000 0.500 0.213
Cl2 0.500 0.000 0.787
Cl3 0.500 0.000 0.213
Cl4 0.000 0.500 0.787
```

# 2
Entry from Alexandria: Cs2PbBr6Cl after structural relaxation (PBE).

Calculated values
The energy is -2.657 eV/atom. The formation energy from raw total energies comes out at -0.927 eV per atom. The space-group type is No. 139. The value obtained for the density is 4.0 g cm⁻³. The total magnetization is 0.00 μB/f.u.

Cell and atoms, written as CIF:
```
data_Cs2PbBr6Cl
_cell_length_a 8.771
_cell_length_b 8.771
_cell_length_c 8.212
_cell_angle_alpha 57.72
_cell_angle_beta 57.72
_cell_angle_gamma 90.00
_symmetry_space_group_name_H-M 'P 1'
_symmetry_Int_Tables_number 1
loop_
_symmetry_equiv_pos_as_xyz
'x,y,z'
loop_
_atom_site_label
_atom_site_fract_x
_atom_site_fract_y
_atom_site_fract_z
Pb1 0.000 0.000 0.000
Cs1 0.750 0.250 0.500
Cs2 0.250 0.750 0.500
Br1 0.269 0.269 0.461
Br2 0.731 0.731 0.539
Br3 0.227 0.227 0.000
Br4 0.773 0.773 0.000
Br5 0.773 0.227 0.000
Br6 0.227 0.773 0.000
Cl1 0.500 0.500 0.000
```

# 3
Entry from Alexandria: Cs3Pb2Br5Cl2 after structural relaxation (PBE).

Calculated values
The energy is -3.268 eV/atom. The formation energy from raw total energies comes out at -1.432 eV per atom. The space-group type is No. 139. The value obtained for the density is 4.0 g cm⁻³. The total magnetization is 0.00 μB/f.u.

Cell and atoms, written as CIF:
```
data_Cs3Pb2Br5Cl2
_cell_length_a 6.004
_cell_length_b 6.004
_cell_length_c 15.247
_cell_angle_alpha 101.35
_cell_angle_beta 101.35
_cell_angle_gamma 90.00
_symmetry_space_group_name_H-M 'P 1'
_symmetry_Int_Tables_number 1
loop_
_symmetry_equiv_pos_as_xyz
'x,y,z'
loop_
_atom_site_label
_atom_site_fract_x
_atom_site_fract_y
_atom_site_fract_z
Cs1 0.183 0.183 0.367
Cs2 0.817 0.817 0.633
Cs3 0.000 0.000 0.000
Pb1 0.395 0.395 0.790
Pb2 0.605 0.605 0.210
Br1 0.601 0.101 0.202
Br2 0.399 0.899 0.798
Br3 0.101 0.601 0.202
Br4 0.899 0.399 0.798
Br5 0.500 0.500 0.000
Cl1 0.701 0.701 0.401
Cl2 0.299 0.299 0.599
```

# 4
Entry from Alexandria: CsPdBr2Cl after structural relaxation (PBE).

Calculated values
The energy is -3.205 eV/atom. The formation energy from raw total energies comes out at -0.957 eV per atom. The space-group type is No. 123. The value obtained for the density is 5.0 g cm⁻³. The total magnetization is 0.00 μB/f.u.

Cell and atoms, written as CIF:
```
data_CsPdBr2Cl
_cell_length_a 5.325
_cell_length_b 5.325
_cell_length_c 5.082
_cell_angle_alpha 90.00
_cell_angle_beta 90.00
_cell_angle_gamma 90.00
_symmetry_space_group_name_H-M 'P 1'
_symmetry_Int_Tables_number 1
loop_
_symmetry_equiv_pos_as_xyz
'x,y,z'
loop_
_atom_site_label
_atom_site_fract_x
_atom_site_fract_y
_atom_site_fract_z
Cs1 0.500 0.500 0.500
Br1 0.000 0.500 0.000
Br2 0.500 0.000 0.000
Pd1 0.000 0.000 0.000
Cl1 0.000 0.000 0.500
```

- The highest formation energy from raw total energies belongs to which entry?
  Cs2PbBr6Cl

- Which formula does entry 2 have?
  Cs2PbBr6Cl

- What is the formula in the first record?
  CsPb2BrCl4